ScBe3F: relaxed, PBE.

Geometry as CIF:
```
data_ScBe3F
_chemical_formula_sum 'Sc1 Be3 F1'
_symmetry_space_group_name_H-M 'P m -3 m'
_symmetry_Int_Tables_number 221
_symmetry_space_group_name_Hall '-P 4 2 3'
_cell_length_a 3.994
_cell_length_b 3.994
_cell_length_c 3.994
_cell_angle_alpha 90.00
_cell_angle_beta 90.00
_cell_angle_gamma 90.00
loop_
_atom_site_label
_atom_site_fract_x
_atom_site_fract_y
_atom_site_fract_z
Sc1 0.000 0.000 0.000
Be1 0.000 0.500 0.500
F1 0.500 0.500 0.500
```

Calculated values
D(E_F) = 0.633 states/eV/atom
E_tot = -3.82 eV/atom
formation energy without anion corrections = 55 meV per atom
energy above the most stable polymorph in this dataset = 0 meV per atom

***

LaTa2Ti: relaxed, PBE.

Geometry as CIF:
```
data_LaTa2Ti
_chemical_formula_sum 'La4 Ta8 Ti4'
_symmetry_space_group_name_H-M 'I -4 2 d'
_symmetry_Int_Tables_number 122
_symmetry_space_group_name_Hall 'I -4 2bw'
_cell_length_a 4.117
_cell_length_b 4.117
_cell_length_c 20.788
_cell_angle_alpha 90.00
_cell_angle_beta 90.00
_cell_angle_gamma 90.00
loop_
_atom_site_label
_atom_site_fract_x
_atom_site_fract_y
_atom_site_fract_z
La1 0.000 0.000 0.000
Ta1 0.239 0.250 0.625
Ti1 0.000 0.000 0.500
```

Calculated values
D(E_F) = 0.838 states/eV/atom
E_tot = -8.30 eV/atom
formation energy from the elements = 0.836 eV/atom
energy above the most stable polymorph in this dataset = 282 meV per atom

***

PuInHg5: relaxed, PBE.

Geometry as CIF:
```
data_PuInHg5
_chemical_formula_sum 'Pu1 In1 Hg5'
_symmetry_space_group_name_H-M 'P 4/m m m'
_symmetry_Int_Tables_number 123
_symmetry_space_group_name_Hall '-P 4 2'
_cell_length_a 5.133
_cell_length_b 5.133
_cell_length_c 7.112
_cell_angle_alpha 90.00
_cell_angle_beta 90.00
_cell_angle_gamma 90.00
loop_
_atom_site_label
_atom_site_fract_x
_atom_site_fract_y
_atom_site_fract_z
Pu1 0.000 0.000 0.000
In1 0.000 0.000 0.500
Hg1 0.000 0.500 0.272
Hg2 0.500 0.500 0.000
```

Calculated values
D(E_F) = 2.120 states/eV/atom
E_tot = -2.74 eV/atom
formation energy from the elements = -0.087 eV/atom

***

Q: Which of these has the lowest E_tot?
A: LaTa2Ti

***

Q: Which of these has the highest E_tot?
A: PuInHg5